Record 1
Here is RbSrTl2Pd after structural relaxation from the Alexandria database. Energies are from GGA-PBE.

Summary:
M_tot = 0.00 μB/cell
Symmetry = P4/mmm
Formation enthalpy at 0 K = -0.172 eV per atom

a b c (Å): 5.574 5.574 5.673
angles (deg): 90.00 90.00 90.00
Fractional coordinates of all 5 atoms:
Sr: 0.000 0.000 0.500
Rb: 0.500 0.500 0.500
Pd: 0.000 0.000 0.000
Tl: 0.000 0.500 0.000
Tl: 0.500 0.000 0.000

---

Record 2
Here is Ba2LaTlRh after structural relaxation from the Alexandria database. Energies are from GGA-PBE.

Summary:
M_tot = 0.00 μB/cell
Symmetry = P4/mmm
Formation enthalpy at 0 K = -0.256 eV per atom

a b c (Å): 6.170 6.170 5.334
angles (deg): 90.00 90.00 90.00
Fractional coordinates of all 5 atoms:
Ba: 0.500 0.000 0.000
Ba: 0.000 0.500 0.000
Tl: 0.500 0.500 0.500
Rh: 0.000 0.000 0.000
La: 0.000 0.000 0.500

---

Record 3
Here is Tb2Pm8Dy after structural relaxation from the Alexandria database. Energies are from GGA-PBE.

Summary:
M_tot = 0.00 μB/cell
Symmetry = C2/m
Formation enthalpy at 0 K = 0.165 eV per atom

a b c (Å): 6.725 10.338 10.338
angles (deg): 38.33 59.69 59.69
Fractional coordinates of all 11 atoms:
Tb: 0.590 0.802 0.802
Tb: 0.410 0.198 0.198
Pm: 0.230 0.350 0.825
Pm: 0.172 0.756 0.756
Pm: 0.770 0.650 0.175
Pm: 0.770 0.175 0.650
Pm: 0.727 0.592 0.592
Pm: 0.273 0.408 0.408
Pm: 0.230 0.825 0.350
Pm: 0.828 0.244 0.244
Dy: 0.000 0.000 0.000

---

Record 4
Here is Pm2MgCu3Sn4 after structural relaxation from the Alexandria database. Energies are from GGA-PBE.

Summary:
M_tot = 0.00 μB/cell
Symmetry = P-4m2
Formation enthalpy at 0 K = -0.408 eV per atom

a b c (Å): 4.399 4.399 11.479
angles (deg): 90.00 90.00 90.00
Fractional coordinates of all 10 atoms:
Cu: 0.000 0.500 0.134
Cu: 0.000 0.000 0.500
Cu: 0.500 0.000 0.866
Sn: 0.000 0.500 0.353
Sn: 0.500 0.000 0.647
Sn: 0.500 0.500 0.000
Sn: 0.000 0.000 0.000
Mg: 0.500 0.500 0.500
Pm: 0.500 0.000 0.242
Pm: 0.000 0.500 0.758

---

Record 5
Here is Ho6Tl5Sn after structural relaxation from the Alexandria database. Energies are from GGA-PBE.

Summary:
M_tot = 0.00 μB/cell
Symmetry = Immm
Formation enthalpy at 0 K = -0.369 eV per atom

a b c (Å): 5.359 9.275 9.275
angles (deg): 120.43 106.80 106.80
Fractional coordinates of all 12 atoms:
Ho: 0.744 0.244 0.244
Ho: 0.247 0.082 0.411
Ho: 0.256 0.756 0.756
Ho: 0.247 0.411 0.082
Ho: 0.753 0.589 0.918
Ho: 0.753 0.918 0.589
Tl: 0.500 0.173 0.827
Tl: 0.500 0.827 0.173
Tl: 0.500 0.500 0.500
Tl: 0.000 0.665 0.335
Tl: 0.000 0.335 0.665
Sn: 0.000 0.000 0.000

---

Record 6
Here is Ga2HgPb after structural relaxation from the Alexandria database. Energies are from GGA-PBE.

Summary:
M_tot = 0.00 μB/cell
Symmetry = P4/mmm
Formation enthalpy at 0 K = 0.080 eV per atom

a b c (Å): 3.531 3.531 7.730
angles (deg): 90.00 90.00 90.00
Fractional coordinates of all 4 atoms:
Ga: 0.000 0.000 0.223
Ga: 0.000 0.000 0.777
Pb: 0.500 0.500 0.500
Hg: 0.500 0.500 0.000

---

Record 7
Here is U2MnSi6Os after structural relaxation from the Alexandria database. Energies are from GGA-PBE.

Summary:
M_tot = 9.55 μB/cell
Formation energy without anion corrections = -203 meV/atom
Symmetry = R-3m

a b c (Å): 5.778 5.778 12.434
angles (deg): 76.56 76.56 60.00
Site moments in Bohr magnetons follow the coordinates.
Fractional coordinates of all 20 atoms:
Si: 0.340 0.929 0.391  -0.01
Si: 0.660 0.071 0.609  -0.01
Si: 0.227 0.809 0.154  0.01
Si: 0.660 0.660 0.609  -0.01
Si: 0.773 0.191 0.846  0.01
Si: 0.191 0.773 0.846  0.01
Si: 0.071 0.660 0.609  -0.01
Si: 0.809 0.809 0.154  0.01
Si: 0.340 0.340 0.391  -0.01
Si: 0.929 0.340 0.391  -0.01
Si: 0.809 0.227 0.154  0.01
Si: 0.191 0.191 0.846  0.01
Mn: 0.500 0.500 0.500  0.64
Mn: 0.000 0.000 0.000  -1.19
U: 0.874 0.874 0.379  2.00
U: 0.126 0.126 0.621  2.00
U: 0.718 0.718 0.847  2.37
U: 0.282 0.282 0.153  2.37
Os: 0.423 0.423 0.731  0.10
Os: 0.577 0.577 0.269  0.10

---

Record 8
Here is Sn3HCl after structural relaxation from the Alexandria database. Energies are from GGA-PBE.

Summary:
E = -3.190 eV per atom
M_tot = 0.00 μB/cell
Symmetry = Pm-3m

a b c (Å): 4.848 4.848 4.848
angles (deg): 90.00 90.00 90.00
Fractional coordinates of all 5 atoms:
H: 0.000 0.000 0.000
Sn: 0.500 0.000 0.000
Sn: 0.000 0.500 0.000
Sn: 0.000 0.000 0.500
Cl: 0.500 0.500 0.500

---

Number 1: mass density 6.49 g/cm3. Number 2: mass density 5.90 g/cm3. Number 3: mass density 7.23 g/cm3. Number 4: mass density 7.32 g/cm3. Number 5: mass density 10.94 g/cm3. Number 6: mass density 9.43 g/cm3. Number 7: mass density 8.53 g/cm3. Number 8: mass density 5.72 g/cm3.